No. 1
Entry from Alexandria: a geometry-optimized VNi3Ir structure (PBE).

a b c (Å): 4.1585 4.1585 4.1585
angles (deg): 90.00 90.00 90.00
Element x y z (fractional)
1 Ni 0.5000 0.0000 0.0000
2 Ni 0.0000 0.0000 0.5000
3 Ni 0.0000 0.5000 0.0000
4 Ir 0.5000 0.5000 0.5000
5 V 0.0000 0.0000 0.0000

Results
Final energy = -29.44 eV for the cell shown
Energy of formation = 5.879 eV/f.u.
Spin magnetization = 0.000 μB/cell
Energy above the most stable polymorph in this dataset = 1385.9 meV per atom
Volume = 14.4 Å³/atom

***

No. 2
Entry from Alexandria: a geometry-optimized VNi5Ir2 structure (PBE).

a b c (Å): 3.6010 5.1744 10.3703
angles (deg): 90.00 90.00 90.00
Element x y z (fractional)
1 V 0.0000 0.0000 0.5000
2 V 0.0000 0.5000 0.0000
3 Ni 0.5000 0.7567 0.1262
4 Ni 0.0000 0.0000 0.0000
5 Ni 0.5000 0.2567 0.3738
6 Ni 0.0000 0.4916 0.7531
7 Ni 0.0000 0.5000 0.5000
8 Ni 0.0000 0.9916 0.7469
9 Ni 0.0000 0.5084 0.2469
10 Ni 0.0000 0.0084 0.2531
11 Ni 0.5000 0.7433 0.6262
12 Ni 0.5000 0.2433 0.8738
13 Ir 0.5000 0.7444 0.8764
14 Ir 0.5000 0.7556 0.3764
15 Ir 0.5000 0.2444 0.6236
16 Ir 0.5000 0.2556 0.1236

Results
Final energy = -113.88 eV for the cell shown
Energy of formation = -1.194 eV/f.u.
Spin magnetization = 1.253 μB/cell
Volume = 12.1 Å³/atom

***

No. 3
Entry from Alexandria: a geometry-optimized V4Ni12Ir structure (PBE).

a b c (Å): 6.4778 6.4778 6.4778
angles (deg): 109.47 109.47 109.47
Element x y z (fractional)
1 V 0.5000 0.0000 0.0000
2 V 0.5000 0.5000 0.5000
3 V 0.0000 0.5000 0.0000
4 V 0.0000 0.0000 0.5000
5 Ni 0.2500 0.5000 0.7500
6 Ni 0.3106 0.3106 0.0000
7 Ni 0.0000 0.6894 0.6894
8 Ni 0.5000 0.2500 0.7500
9 Ni 0.0000 0.3106 0.3106
10 Ni 0.5000 0.7500 0.2500
11 Ni 0.7500 0.2500 0.5000
12 Ni 0.6894 0.0000 0.6894
13 Ni 0.2500 0.7500 0.5000
14 Ni 0.3106 0.0000 0.3106
15 Ni 0.6894 0.6894 0.0000
16 Ni 0.7500 0.5000 0.2500
17 Ir 0.0000 0.0000 0.0000

Results
Final energy = -112.50 eV for the cell shown
Energy of formation = 2.209 eV/f.u.
Spin magnetization = 7.348 μB/cell
Volume = 12.3 Å³/atom

***

No. 4
Entry from Alexandria: a geometry-optimized VNiIr3 structure (PBE).

a b c (Å): 4.4883 4.4883 4.4883
angles (deg): 90.00 90.00 90.00
Element x y z (fractional)
1 V 0.0000 0.0000 0.0000
2 Ir 0.0000 0.5000 0.0000
3 Ir 0.5000 0.0000 0.0000
4 Ir 0.0000 0.0000 0.5000
5 Ni 0.5000 0.5000 0.5000

Results
Final energy = -34.45 eV for the cell shown
Energy of formation = 7.037 eV/f.u.
Spin magnetization = 1.442 μB/cell
Energy above the most stable polymorph in this dataset = 1713.1 meV per atom
Volume = 18.1 Å³/atom